# LuCuReTc

Crystalline LuCuReTc at its relaxed geometry (GGA-PBE, the Open Quantum Materials Database).

a = 4.484 Å, b = 4.484 Å, c = 4.484 Å
α = 60.00°, β = 60.00°, γ = 60.00°
Positions (direct):
Lu 0.000 0.000 0.000
Cu 0.250 0.250 0.250
Re 0.500 0.500 0.500
Tc 0.750 0.750 0.750

Formation energy from the elements (eV/atom): 0.09
Distance to the lowest polymorph of the same formula (eV per atom): 0.000

---

# TbBeSi

Crystalline TbBeSi at its relaxed geometry (GGA-PBE, the Open Quantum Materials Database).

a = 4.377 Å, b = 4.377 Å, c = 4.377 Å
α = 60.00°, β = 60.00°, γ = 60.00°
Positions (direct):
Tb 0.000 0.000 0.000
Be 0.500 0.500 0.500
Si 0.750 0.750 0.750

---

# Ag9Sn

Crystalline Ag9Sn at its relaxed geometry (GGA-PBE, the Open Quantum Materials Database).

a = 2.960 Å, b = 3.955 Å, c = 40.240 Å
α = 90.00°, β = 90.00°, γ = 90.00°
Positions (direct):
Ag 0.250 0.250 0.019
Ag 0.250 0.250 0.093
Ag 0.250 0.250 0.168
Ag 0.250 0.250 0.244
Ag 0.250 0.250 0.319
Ag 0.250 0.250 0.718
Ag 0.250 0.250 0.794
Ag 0.250 0.250 0.869
Ag 0.250 0.250 0.944
Ag 0.750 0.750 0.056
Ag 0.750 0.750 0.131
Ag 0.750 0.750 0.206
Ag 0.750 0.750 0.282
Ag 0.750 0.750 0.681
Ag 0.750 0.750 0.756
Ag 0.750 0.750 0.832
Ag 0.750 0.750 0.907
Ag 0.750 0.750 0.981
Sn 0.250 0.250 0.639
Sn 0.750 0.750 0.361

Distance to the lowest polymorph of the same formula (eV per atom): 0.005

---

# Rb2ScZnCl6

Crystalline Rb2ScZnCl6 at its relaxed geometry (GGA-PBE, the Open Quantum Materials Database).

a = 7.316 Å, b = 7.316 Å, c = 7.316 Å
α = 60.00°, β = 60.00°, γ = 60.00°
Positions (direct):
Rb 0.250 0.250 0.250
Rb 0.750 0.750 0.750
Sc 0.000 0.000 0.000
Zn 0.500 0.500 0.500
Cl 0.243 0.243 0.757
Cl 0.243 0.757 0.243
Cl 0.243 0.757 0.757
Cl 0.757 0.243 0.243
Cl 0.757 0.243 0.757
Cl 0.757 0.757 0.243

---

# NaSmTmSe3

Crystalline NaSmTmSe3 at its relaxed geometry (GGA-PBE, the Open Quantum Materials Database).

a = 7.416 Å, b = 7.416 Å, c = 11.579 Å
α = 90.00°, β = 90.00°, γ = 146.10°
Positions (direct):
Na 0.239 0.761 0.750
Na 0.761 0.239 0.250
Sm 0.500 0.500 0.000
Sm 0.500 0.500 0.500
Tm 0.033 0.967 0.250
Tm 0.967 0.033 0.750
Se 0.138 0.862 0.061
Se 0.138 0.862 0.439
Se 0.419 0.581 0.250
Se 0.581 0.419 0.750
Se 0.862 0.138 0.561
Se 0.862 0.138 0.939

---

# LaErGa2

Crystalline LaErGa2 at its relaxed geometry (GGA-PBE, the Open Quantum Materials Database).

a = 6.714 Å, b = 6.714 Å, c = 6.877 Å
α = 90.00°, β = 90.00°, γ = 139.72°
Positions (direct):
La 0.063 0.937 0.750
La 0.937 0.063 0.250
Er 0.219 0.781 0.250
Er 0.781 0.219 0.750
Ga 0.396 0.604 0.562
Ga 0.396 0.604 0.938
Ga 0.604 0.396 0.062
Ga 0.604 0.396 0.438

---

# LiFeGeW

Crystalline LiFeGeW at its relaxed geometry (GGA-PBE, the Open Quantum Materials Database).

a = 4.225 Å, b = 4.225 Å, c = 4.225 Å
α = 60.00°, β = 60.00°, γ = 60.00°
Positions (direct):
Li 0.000 0.000 0.000
Fe 0.750 0.750 0.750
Ge 0.500 0.500 0.500
W 0.250 0.250 0.250

Distance to the lowest polymorph of the same formula (eV per atom): 0.312

---

# ZrNbAg2

Crystalline ZrNbAg2 at its relaxed geometry (GGA-PBE, the Open Quantum Materials Database).

a = 4.773 Å, b = 4.773 Å, c = 4.773 Å
α = 60.00°, β = 60.00°, γ = 60.00°
Positions (direct):
Zr 0.000 0.000 0.000
Nb 0.750 0.750 0.750
Ag 0.250 0.250 0.250
Ag 0.500 0.500 0.500

Formation energy from the elements (eV/atom): 0.34

---

# YTmNi2Pb

Crystalline YTmNi2Pb at its relaxed geometry (GGA-PBE, the Open Quantum Materials Database).

a = 3.669 Å, b = 7.360 Å, c = 7.360 Å
α = 31.26°, β = 90.00°, γ = 90.00°
Positions (direct):
Y 0.000 0.000 0.000
Tm 0.000 0.280 0.280
Ni 0.500 0.436 0.436
Ni 0.500 0.837 0.837
Pb 0.500 0.640 0.640

---

# Tb2GeB2O8

Crystalline Tb2GeB2O8 at its relaxed geometry (GGA-PBE, the Open Quantum Materials Database).

a = 13.440 Å, b = 4.380 Å, c = 9.207 Å
α = 90.00°, β = 90.00°, γ = 90.00°
Positions (direct):
Tb 0.140 0.039 0.024
Tb 0.140 0.961 0.524
Tb 0.360 0.461 0.524
Tb 0.360 0.539 0.024
Tb 0.640 0.461 0.976
Tb 0.640 0.539 0.476
Tb 0.860 0.039 0.476
Tb 0.860 0.961 0.976
Ge 0.000 0.429 0.750
Ge 0.000 0.571 0.250
Ge 0.500 0.071 0.250
Ge 0.500 0.929 0.750
B 0.200 0.469 0.297
B 0.200 0.531 0.797
B 0.300 0.031 0.797
B 0.300 0.969 0.297
B 0.700 0.031 0.703
B 0.700 0.969 0.203
B 0.800 0.469 0.203
B 0.800 0.531 0.703
O 0.004 0.205 0.905
O 0.004 0.795 0.405
O 0.107 0.332 0.233
O 0.107 0.668 0.733
O 0.192 0.462 0.453
O 0.192 0.538 0.953
O 0.213 0.213 0.742
O 0.213 0.787 0.242
O 0.287 0.287 0.242
O 0.287 0.713 0.742
O 0.308 0.038 0.953
O 0.308 0.962 0.453
O 0.393 0.168 0.733
O 0.393 0.832 0.233
O 0.496 0.295 0.405
O 0.496 0.705 0.905
O 0.504 0.295 0.095
O 0.504 0.705 0.595
O 0.607 0.168 0.767
O 0.607 0.832 0.267
O 0.692 0.038 0.547
O 0.692 0.962 0.047
O 0.713 0.287 0.258
O 0.713 0.713 0.758
O 0.787 0.213 0.758
O 0.787 0.787 0.258
O 0.808 0.462 0.047
O 0.808 0.538 0.547
O 0.893 0.332 0.267
O 0.893 0.668 0.767
O 0.996 0.205 0.595
O 0.996 0.795 0.095

---

# Na2SnHgTe4

Crystalline Na2SnHgTe4 at its relaxed geometry (GGA-PBE, the Open Quantum Materials Database).

a = 7.868 Å, b = 7.868 Å, c = 7.868 Å
α = 125.38°, β = 125.38°, γ = 80.90°
Positions (direct):
Na 0.000 0.000 0.000
Na 0.750 0.250 0.500
Sn 0.500 0.500 0.000
Hg 0.250 0.750 0.500
Te 0.156 0.615 0.023
Te 0.385 0.407 0.541
Te 0.593 0.134 0.977
Te 0.866 0.844 0.459

Distance to the lowest polymorph of the same formula (eV per atom): 0.000

---

# CsNaTePt

Crystalline CsNaTePt at its relaxed geometry (GGA-PBE, the Open Quantum Materials Database).

a = 5.627 Å, b = 5.627 Å, c = 5.627 Å
α = 60.00°, β = 60.00°, γ = 60.00°
Positions (direct):
Cs 0.000 0.000 0.000
Na 0.500 0.500 0.500
Te 0.250 0.250 0.250
Pt 0.750 0.750 0.750

Distance to the lowest polymorph of the same formula (eV per atom): 0.267

---

The calculation returns the following VASP energy values, one per record and in order: -7.666; -4.647; -2.908; -3.754; -4.923; -4.493; -6.557; -5.729; -5.678; -7.919; -2.889; -2.652 eV per atom.